No. 1
Ga6FeCo5 | the Alexandria database | PBE | optimized geometry; density of states at the Fermi level = 0.363 states/eV/atom; crystal system = orthorhombic; calculated total energy = -65.2 eV/cell; total magnetization = 0.0 Bohr magnetons per cell
1.0
1.0715 3.8850 -0.5646
1.4399 -1.1898 -5.4547
-6.9450 -0.0381 1.2223
Ga Co Fe
6 5 1
direct
0.8340 0.5848 0.6680
0.5000 0.7515 0.0000
0.1660 0.4152 0.3320
0.5000 0.2485 0.0000
0.8340 0.0832 0.6680
0.1660 0.9168 0.3320
0.3313 0.8313 0.6626
0.0000 0.5000 0.0000
0.6687 0.1687 0.3374
0.3329 0.3329 0.6658
0.6671 0.6671 0.3342
0.0000 0.0000 0.0000

=====

No. 2
Ga2FeCo6 | the Alexandria database | PBE | optimized geometry; density of states at the Fermi level = 1.229 states/eV/atom; crystal system = orthorhombic; calculated total energy = -55.5 eV/cell; total magnetization = 11.2 Bohr magnetons per cell
1.0
-2.3853 -2.9939 0.4418
-3.1204 0.8839 5.9397
-5.8733 2.5277 2.2166
Co Ga Fe
6 2 1
direct
0.7060 0.5580 0.0301
0.7060 0.0301 0.5580
0.5122 0.2350 0.7403
0.3107 0.9430 0.4357
0.5122 0.7403 0.2350
0.3107 0.4357 0.9430
0.1215 0.3786 0.3786
0.8993 0.6006 0.6006
0.9213 0.0787 0.0787

=====

No. 3
GaFeCo4 | the Alexandria database | PBE | optimized geometry; density of states at the Fermi level = 1.009 states/eV/atom; polymorph energy (0 for the lowest one) = 20 meV per atom; crystal system = monoclinic; calculated total energy = -80.3 eV/cell; total magnetization = 15.7 Bohr magnetons per cell
1.0
-3.8711 4.4915 -2.3734
-2.9866 -3.8696 -0.6687
-1.7140 0.6328 3.9931
Ga Fe Co
2 2 8
direct
0.0000 0.2500 0.3996
0.0000 0.7500 0.6004
0.5000 0.2500 0.0909
0.5000 0.7500 0.9091
0.8274 0.5850 0.0887
0.8274 0.0850 0.9113
0.3379 0.0860 0.5866
0.6621 0.4140 0.5866
0.3379 0.5860 0.4134
0.6621 0.9140 0.4134
0.1726 0.9150 0.0887
0.1726 0.4150 0.9113

=====

No. 4
Ga2Fe2Co15 | the Alexandria database | PBE | optimized geometry; density of states at the Fermi level = 1.035 states/eV/atom; polymorph energy (0 for the lowest one) = 0 meV per atom; crystal system = trigonal; calculated total energy = -127.0 eV/cell; total magnetization = 28.5 Bohr magnetons per cell
1.0
-5.0092 1.5800 -3.2694
1.4172 -2.7460 -5.3599
-3.2860 -5.2004 0.6600
Fe Co Ga
2 15 2
direct
0.9026 0.9026 0.9026
0.0974 0.0974 0.0974
0.0000 0.5000 0.0000
0.3523 0.8430 0.3523
0.6477 0.6477 0.1570
0.3523 0.3523 0.8430
0.6969 0.0000 0.3031
0.6969 0.3031 0.0000
0.3031 0.0000 0.6969
0.1570 0.6477 0.6477
0.0000 0.3031 0.6969
0.8430 0.3523 0.3523
0.5000 0.0000 0.0000
0.0000 0.0000 0.5000
0.3031 0.6969 0.0000
0.0000 0.6969 0.3031
0.6477 0.1570 0.6477
0.6464 0.6464 0.6464
0.3536 0.3536 0.3536

=====

No. 5
GaFe3Co4 | the Alexandria database | PBE | optimized geometry; density of states at the Fermi level = 0.372 states/eV/atom; crystal system = tetragonal; calculated total energy = -115.9 eV/cell; total magnetization = 29.0 Bohr magnetons per cell
1.0
4.0379 0.0000 0.0000
0.0000 5.7143 0.0000
0.0000 0.0000 8.0753
Co Fe Ga
8 6 2
direct
0.5000 0.2443 0.5000
0.9998 0.2443 0.2500
0.5000 0.7557 0.0000
0.9998 0.7557 0.2500
0.0002 0.2443 0.7500
0.5000 0.2443 0.0000
0.5000 0.7557 0.5000
0.0002 0.7557 0.7500
0.4998 0.0000 0.2500
0.5002 0.0000 0.7500
0.4998 0.5000 0.2500
0.0000 0.0000 0.5000
0.5002 0.5000 0.7500
0.0000 0.0000 0.0000
0.0000 0.5000 0.5000
0.0000 0.5000 0.0000

=====

No. 6
GaFe14Co | the Alexandria database | PBE | optimized geometry; density of states at the Fermi level = 0.820 states/eV/atom; crystal system = orthorhombic; calculated total energy = -129.1 eV/cell; total magnetization = 34.6 Bohr magnetons per cell
1.0
4.9442 0.1683 0.0000
-1.7829 4.6146 0.0000
0.0000 0.0000 8.0738
Fe Co Ga
14 1 1
direct
0.6248 0.3752 0.0000
0.6249 0.8750 0.5000
0.8704 0.6202 0.2469
0.1249 0.8751 0.0000
0.1250 0.3751 0.5000
0.6248 0.8751 0.0000
0.8704 0.6202 0.7531
0.3727 0.6273 0.7493
0.3798 0.1296 0.2469
0.8774 0.1226 0.7493
0.3727 0.6273 0.2507
0.8774 0.1226 0.2507
0.1249 0.3752 0.0000
0.3798 0.1296 0.7531
0.6251 0.3749 0.5000
0.1250 0.8750 0.5000

=====

No. 7
GaFe8Co2 | the Alexandria database | PBE | optimized geometry; density of states at the Fermi level = 0.616 states/eV/atom; crystal system = monoclinic; calculated total energy = -85.4 eV/cell; total magnetization = 22.9 Bohr magnetons per cell
1.0
2.8316 0.0001 0.5117
-0.2525 6.2294 1.4102
0.1254 0.2996 7.4185
Fe Ga Co
8 1 2
direct
0.6412 0.1881 0.6856
0.9084 0.5488 0.1521
0.3578 0.8124 0.2538
0.4529 0.2800 0.0627
0.8183 0.0926 0.3323
0.0906 0.4517 0.7874
0.5461 0.7205 0.8768
0.1807 0.9078 0.6070
0.9995 0.0003 0.9697
0.7262 0.6364 0.5169
0.2729 0.3641 0.4225

=====

No. 8
Ga3FeCo2 | the Alexandria database | PBE | optimized geometry; density of states at the Fermi level = 0.602 states/eV/atom; crystal system = tetragonal; calculated total energy = -33.0 eV/cell; total magnetization = 0.2 Bohr magnetons per cell
1.0
-0.0750 -2.5433 -1.3605
1.6334 -1.1591 2.0768
-7.1066 -2.1411 4.3942
Ga Co Fe
3 2 1
direct
0.0000 0.0000 0.0000
0.0000 0.0000 0.3353
0.0000 0.0000 0.6647
0.5000 0.5000 0.8350
0.5000 0.5000 0.1650
0.5000 0.5000 0.5000

=====

No. 9
GaFe4Co3 | the Alexandria database | PBE | optimized geometry; density of states at the Fermi level = 0.869 states/eV/atom; crystal system = monoclinic; calculated total energy = -56.5 eV/cell; total magnetization = 15.4 Bohr magnetons per cell
1.0
2.6413 0.0000 -0.5222
0.0492 4.0274 0.2489
0.6422 3.3620 10.1891
Fe Ga Co
4 1 3
direct
0.6919 0.6116 0.3839
0.3081 0.3884 0.6161
0.6013 0.2964 0.2026
0.3987 0.7036 0.7974
0.5000 0.0000 0.0000
0.0000 0.5000 0.0000
0.7996 0.9052 0.5991
0.2004 0.0948 0.4009

=====

No. 10
GaFe3Co3 | the Alexandria database | PBE | optimized geometry; density of states at the Fermi level = 0.593 states/eV/atom; crystal system = orthorhombic; calculated total energy = -99.0 eV/cell; total magnetization = 25.0 Bohr magnetons per cell
1.0
-3.0046 -4.5962 -1.3486
2.1129 -2.6543 4.5234
-4.1815 1.8431 3.0347
Co Fe Ga
6 6 2
direct
0.5000 0.0000 0.7456
0.0000 0.5000 0.7456
0.0000 0.0000 0.7443
0.5000 0.0000 0.2544
0.0000 0.5000 0.2544
0.0000 0.0000 0.2557
0.7402 0.7402 0.5000
0.2598 0.2598 0.5000
0.2668 0.7332 0.5000
0.2508 0.7492 0.0000
0.7332 0.2668 0.5000
0.7492 0.2508 0.0000
0.7238 0.7238 0.0000
0.2762 0.2762 0.0000

=====

No. 11
Ga4FeCo3 | the Alexandria database | PBE | optimized geometry; density of states at the Fermi level = 0.483 states/eV/atom; crystal system = tetragonal; calculated total energy = -43.8 eV/cell; total magnetization = 0.2 Bohr magnetons per cell
1.0
-2.4505 1.4664 -0.4078
0.2547 -0.3669 -2.8499
-5.9824 -9.7949 0.7262
Ga Fe Co
4 1 3
direct
0.0000 0.0000 0.1238
0.0000 0.0000 0.6254
0.0000 0.0000 0.3746
0.0000 0.0000 0.8762
0.5000 0.5000 0.0000
0.5000 0.5000 0.7482
0.5000 0.5000 0.5000
0.5000 0.5000 0.2518

=====

No. 12
Ga3FeCo6 | the Alexandria database | PBE | optimized geometry; density of states at the Fermi level = 0.824 states/eV/atom; crystal system = monoclinic; calculated total energy = -123.3 eV/cell; total magnetization = 19.0 Bohr magnetons per cell
1.0
-0.2218 -2.2048 3.3905
2.8514 -5.4480 -3.3561
6.5539 4.4787 3.3411
Co Ga Fe
12 6 2
direct
0.7500 0.5510 0.9004
0.2500 0.1490 0.2009
0.7500 0.7569 0.5037
0.2500 0.4490 0.0996
0.7500 0.8510 0.7991
0.2500 0.8566 0.3040
0.2500 0.2431 0.4963
0.7500 0.9534 0.1021
0.2500 0.6558 0.6999
0.7500 0.3442 0.3001
0.2500 0.0466 0.8979
0.7500 0.1434 0.6960
0.7500 0.4518 0.6018
0.7500 0.6532 0.2016
0.2500 0.3468 0.7984
0.7500 0.2448 0.0021
0.2500 0.7552 0.9979
0.2500 0.5482 0.3982
0.7500 0.0506 0.3996
0.2500 0.9494 0.6004